Entry from OQMD via LeMat-Bulk: a geometry-optimized YZnFeSb structure (PBE).

Unit cell a=4.773 b=4.773 c=4.773 alpha=60.00 beta=60.00 gamma=60.00
Fractional coordinates of all 4 atoms:
Fe: 0.750 0.750 0.750
Sb: 0.000 0.000 0.000
Y: 0.500 0.500 0.500
Zn: 0.250 0.250 0.250

- Energy relative to the lowest polymorph listed for this composition: 23.4 meV per atom
- Uncorrected energy: -5.070 eV/atom
- SG: F-43m